# 1
Computed, not measured: Mo2OsN after structural relaxation at the PBE level of DFT.

The structure belongs to space group Fm-3m (No. 225); the cell edges are 6.020, 6.020 and 6.020 Å and the angles 90.00°, 90.00° and 90.00°. The inequivalent atoms are Mo at (0.250, 0.250, 0.250), Os at (0.000, 0.000, 0.000) and N at (0.000, 0.000, 0.500).

Its total energy is -9.267 eV per atom. Its size of the total moment is 0.000 μB per cell. The value obtained for the energy above the most stable polymorph in this dataset is 1178 meV/atom.



# 2
Computed, not measured: Mo2OsN after structural relaxation at the PBE level of DFT.

The structure belongs to space group I-42d (No. 122); the cell edges are 5.075, 5.075 and 10.267 Å and the angles 90.00°, 90.00° and 90.00°. The inequivalent atoms are Mo at (0.171, 0.250, 0.125), Os at (0.000, 0.000, 0.500) and N at (0.000, 0.000, 0.000).

Its total energy is -9.917 eV per atom. Its size of the total moment is 0.000 μB per cell. The value obtained for the energy above the most stable polymorph in this dataset is 527 meV/atom.



# 3
Computed, not measured: Mo2OsN after structural relaxation at the PBE level of DFT.

The structure belongs to space group P4/mmm (No. 123); the cell edges are 2.740, 2.740 and 6.647 Å and the angles 90.00°, 90.00° and 90.00°. The inequivalent atoms are Mo at (0.000, 0.000, 0.204), Os at (0.500, 0.500, 0.500) and N at (0.500, 0.500, 0.000).

Its total energy is -10.224 eV per atom. Its size of the total moment is 0.000 μB per cell. The value obtained for the energy above the most stable polymorph in this dataset is 221 meV/atom.



# 4
Computed, not measured: MoOs2N after structural relaxation at the PBE level of DFT.

The structure belongs to space group I-42d (No. 122); the cell edges are 5.083, 5.083 and 10.025 Å and the angles 90.00°, 90.00° and 90.00°. The inequivalent atoms are Mo at (0.000, 0.000, 0.000), Os at (0.164, 0.250, 0.625) and N at (0.000, 0.000, 0.500).

Its total energy is -9.699 eV per atom. Its size of the total moment is 0.000 μB per cell. The value obtained for the energy above the most stable polymorph in this dataset is 0 meV/atom.



# 5
Computed, not measured: MoOs3N after structural relaxation at the PBE level of DFT.

The structure belongs to space group Pm-3m (No. 221); the cell edges are 4.747, 4.747 and 4.747 Å and the angles 90.00°, 90.00° and 90.00°. The inequivalent atoms are Mo at (0.000, 0.000, 0.000), Os at (0.000, 0.000, 0.500) and N at (0.500, 0.500, 0.500).

Its total energy is -7.097 eV per atom. Its size of the total moment is 5.928 μB per cell. The value obtained for the energy above the most stable polymorph in this dataset is 2877 meV/atom.



# 6
Computed, not measured: MoOs2N after structural relaxation at the PBE level of DFT.

The structure belongs to space group Fm-3m (No. 225); the cell edges are 6.013, 6.013 and 6.013 Å and the angles 90.00°, 90.00° and 90.00°. The inequivalent atoms are Mo at (0.000, 0.000, 0.000), Os at (0.250, 0.250, 0.250) and N at (0.000, 0.000, 0.500).

Its total energy is -8.967 eV per atom. Its size of the total moment is 0.000 μB per cell. The value obtained for the energy above the most stable polymorph in this dataset is 732 meV/atom.



# 7
Computed, not measured: MoOsN3 after structural relaxation at the PBE level of DFT.

The structure belongs to space group Pm-3m (No. 221); the cell edges are 3.892, 3.892 and 3.892 Å and the angles 90.00°, 90.00° and 90.00°. The inequivalent atoms are Mo at (0.000, 0.000, 0.000), Os at (0.500, 0.500, 0.500) and N at (0.000, 0.000, 0.500).

Its total energy is -7.811 eV per atom. Its size of the total moment is 0.000 μB per cell.



# 8
Computed, not measured: MoOsN2 after structural relaxation at the PBE level of DFT.

The structure belongs to space group I-42d (No. 122); the cell edges are 4.786, 4.786 and 8.625 Å and the angles 90.00°, 90.00° and 90.00°. The inequivalent atoms are Mo at (0.000, 0.000, 0.000), Os at (0.000, 0.000, 0.500) and N at (0.248, 0.250, 0.625).

Its total energy is -9.368 eV per atom. Its size of the total moment is 0.000 μB per cell. The value obtained for the energy above the most stable polymorph in this dataset is 119 meV/atom.



Number 1: raw formation energy 1.038 eV per atom. Number 2: raw formation energy 0.387 eV per atom. Number 3: raw formation energy 0.081 eV per atom. Number 4: raw formation energy 0.705 eV per atom. Number 5: raw formation energy 3.473 eV per atom. Number 6: raw formation energy 1.437 eV per atom. Number 7: raw formation energy 1.597 eV per atom. Number 8: raw formation energy 0.310 eV per atom.